No. 1
LiInSn | Alexandria | PBE | relaxed; total moment = 0.0 μB/f.u.; calculated density = 5.72 g/cm³; calculated total energy = -3.05 eV/atom; formation energy from the elements = -16.0 kJ/mol of atoms
1.0
3.1713 0.0000 0.0000
0.0000 4.8604 0.0000
-0.0112 0.0000 9.0515
Li In Sn
2 2 2
Direct
0.0000 0.0000 0.0000
0.0012 0.5000 0.2249
0.4999 0.5000 0.9398
0.5035 0.5000 0.5100
0.4977 0.0000 0.7184
0.5013 0.0000 0.2783

=====

No. 2
Ca2InSn3Rh4 | Alexandria | PBE | relaxed; total moment = 0.0 μB/f.u.; calculated density = 7.33 g/cm³; calculated total energy = -5.41 eV/atom; formation energy from the elements = -57.4 kJ/mol of atoms
1.0
4.4597 0.0000 0.0000
0.0000 4.4597 0.0000
0.0000 0.0000 10.9589
Ca In Sn Rh
2 1 3 4
Direct
0.0000 0.5000 0.2405
0.5000 0.0000 0.7595
0.0000 0.0000 0.5000
0.0000 0.5000 0.8730
0.5000 0.0000 0.1270
0.5000 0.5000 0.5000
0.0000 0.0000 0.0000
0.0000 0.5000 0.6367
0.5000 0.0000 0.3633
0.5000 0.5000 0.0000

=====

No. 3
ScHgAuS2 | Alexandria | PBE | relaxed; total moment = 0.3 μB/f.u.; calculated density = 6.73 g/cm³; calculated total energy = -3.39 eV/atom; E_form (uncorrected) = 0.25 eV/atom
1.0
4.8885 0.0000 0.0000
0.0000 4.8885 0.0000
0.0000 0.0000 5.2311
Sc Hg Au S
1 1 1 2
Direct
0.0000 0.0000 0.0000
0.5000 0.5000 0.0000
0.0000 0.0000 0.5000
0.0000 0.5000 0.5000
0.5000 0.0000 0.5000

=====

No. 4
Tb2CdGa4Pd3 | Alexandria | PBE | relaxed; total moment = 0.0 μB/f.u.; calculated density = 8.78 g/cm³; calculated total energy = -4.46 eV/atom; formation energy from the elements = -65.3 kJ/mol of atoms
1.0
4.2103 0.0000 0.0000
0.0000 4.2103 0.0000
0.0000 0.0000 10.9698
Tb Cd Ga Pd
2 1 4 3
Direct
0.0000 0.5000 0.2348
0.5000 0.0000 0.7652
0.0000 0.0000 0.5000
0.0000 0.0000 0.0000
0.0000 0.5000 0.6468
0.5000 0.0000 0.3532
0.5000 0.5000 0.0000
0.0000 0.5000 0.8696
0.5000 0.0000 0.1304
0.5000 0.5000 0.5000

=====

No. 5
MgInAgBi | Alexandria | PBE | relaxed; total moment = 0.0 μB/f.u.; calculated density = 7.61 g/cm³; calculated total energy = -2.76 eV/atom; formation energy from the elements = 0.7 kJ/mol of atoms
1.0
0.0000 3.6779 3.6779
3.6779 0.0000 3.6779
3.6779 3.6779 0.0000
Mg In Ag Bi
1 1 1 1
Direct
0.0000 0.0000 0.0000
0.2500 0.2500 0.2500
0.5000 0.5000 0.5000
0.7500 0.7500 0.7500

=====

No. 6
Ti8Al2Co | Alexandria | PBE | relaxed; total moment = 0.0 μB/f.u.; calculated density = 4.59 g/cm³; calculated total energy = -7.27 eV/atom; formation energy from the elements = -19.3 kJ/mol of atoms
1.0
-2.2618 3.0188 6.5661
2.2618 -3.0188 6.5661
2.2618 3.0188 -6.5661
Ti Al Co
8 2 1
Direct
0.1348 0.3675 0.7673
0.1789 0.1789 0.0000
0.2642 0.0000 0.2642
0.3998 0.6325 0.7673
0.6002 0.3675 0.2327
0.7358 0.0000 0.7358
0.8211 0.8211 0.0000
0.8652 0.6325 0.2327
0.3114 0.8114 0.5000
0.6886 0.1886 0.5000
0.0000 0.5000 0.5000

=====

No. 7
LiBe2Ga2 | Alexandria | PBE | relaxed; total moment = 0.0 μB/f.u.; calculated density = 3.97 g/cm³; calculated total energy = -3.01 eV/atom; formation energy from the elements = 7.1 kJ/mol of atoms
1.0
-1.7391 1.7391 5.6880
1.7391 -1.7391 5.6880
1.7391 1.7391 -5.6880
Li Be Ga
1 2 2
Direct
0.0000 0.0000 0.0000
0.2500 0.7500 0.5000
0.7500 0.2500 0.5000
0.3905 0.3905 0.0000
0.6095 0.6095 0.0000

=====

No. 8
Sm2ReSi | Alexandria | PBE | relaxed; total moment = 0.0 μB/f.u.; calculated density = 9.78 g/cm³; calculated total energy = -6.15 eV/atom; E_form (uncorrected) = 0.67 eV/atom
1.0
1.5436 0.8912 10.5906
-1.5436 0.8912 10.5906
0.0000 -1.7824 10.5906
Sm Re Si
2 1 1
Direct
0.0894 0.0894 0.0894
0.9106 0.9106 0.9106
0.0000 0.0000 0.0000
0.5000 0.5000 0.5000

=====

No. 9
K2CdGa3Sn4 | Alexandria | PBE | relaxed; total moment = 0.0 μB/f.u.; calculated density = 5.11 g/cm³; calculated total energy = -2.97 eV/atom; formation energy from the elements = -14.8 kJ/mol of atoms
1.0
4.9643 0.0000 0.0000
0.0000 4.9643 0.0000
0.0000 0.0000 11.5227
K Cd Ga Sn
2 1 3 4
Direct
0.0000 0.5000 0.2467
0.5000 0.0000 0.7533
0.5000 0.5000 0.0000
0.0000 0.0000 0.0000
0.0000 0.5000 0.6289
0.5000 0.0000 0.3711
0.0000 0.0000 0.5000
0.0000 0.5000 0.8659
0.5000 0.0000 0.1341
0.5000 0.5000 0.5000

=====

No. 10
BaZr2Br | Alexandria | PBE | relaxed; total moment = 1.9 μB/f.u.; calculated density = 6.31 g/cm³; calculated total energy = -4.39 eV/atom; E_form (uncorrected) = 0.78 eV/atom
1.0
0.0000 3.7464 3.7464
3.7464 0.0000 3.7464
3.7464 3.7464 0.0000
Ba Zr Br
1 2 1
Direct
0.0000 0.0000 0.0000
0.2500 0.2500 0.2500
0.7500 0.7500 0.7500
0.5000 0.5000 0.5000

=====

No. 11
Pr6NpS8 | Alexandria | PBE | relaxed; total moment = 5.0 μB/f.u.; calculated density = 5.75 g/cm³; calculated total energy = -6.90 eV/atom; E_form (uncorrected) = -1.93 eV/atom
1.0
0.0000 5.7841 5.7841
5.7841 0.0000 5.7841
5.7841 5.7841 0.0000
Pr Np S
6 1 8
Direct
0.0000 0.0000 0.5000
0.0000 0.5000 0.0000
0.0000 0.5000 0.5000
0.5000 0.0000 0.0000
0.5000 0.0000 0.5000
0.5000 0.5000 0.0000
0.0000 0.0000 0.0000
0.2429 0.2429 0.7571
0.2429 0.7571 0.2429
0.2429 0.7571 0.7571
0.2500 0.2500 0.2500
0.7500 0.7500 0.7500
0.7571 0.2429 0.2429
0.7571 0.2429 0.7571
0.7571 0.7571 0.2429

=====

No. 12
Bi5Au4 | Alexandria | PBE | relaxed; total moment = 0.0 μB/f.u.; calculated density = 13.32 g/cm³; calculated total energy = -3.54 eV/atom; formation energy from the elements = 7.4 kJ/mol of atoms
1.0
5.5991 -5.1950 0.0000
5.5991 5.1950 0.0000
-1.5859 0.0000 3.9289
Bi Au
5 4
Direct
0.0000 0.0000 0.0000
0.3130 0.6870 0.0000
0.3144 0.3144 0.3212
0.6856 0.6856 0.6788
0.6870 0.3130 0.0000
0.0015 0.3547 0.6801
0.3547 0.0015 0.6801
0.6453 0.9985 0.3199
0.9985 0.6453 0.3199

=====

No. 13
Ni2MoAu | Alexandria | PBE | relaxed; total moment = 0.0 μB/f.u.; calculated density = 12.23 g/cm³; calculated total energy = -6.28 eV/atom; formation energy from the elements = 12.9 kJ/mol of atoms
1.0
2.7166 0.0000 0.0000
0.0000 3.8357 0.0000
0.0000 0.0000 5.3468
Ni Mo Au
2 1 1
Direct
0.0000 0.0000 0.0000
0.5000 0.5000 0.2316
0.5000 0.5000 0.7851
0.0000 0.0000 0.4889

=====

No. 14
CrN2 | Alexandria | PBE | relaxed; total moment = 0.0 μB/f.u.; calculated density = 4.88 g/cm³; calculated total energy = -8.55 eV/atom; E_form (uncorrected) = 0.21 eV/atom
1.0
1.9692 -2.0394 0.0000
1.9692 2.0394 0.0000
-1.2156 0.0000 3.3898
Cr N
1 2
Direct
0.0000 0.0000 0.0000
0.1755 0.1755 0.5195
0.4519 0.4519 0.8539

=====

No. 15
ZnPSN2 | Alexandria | PBE | relaxed; total moment = 0.4 μB/f.u.; calculated density = 3.77 g/cm³; calculated total energy = -4.94 eV/atom; E_form (uncorrected) = 0.55 eV/atom
1.0
3.3372 0.0000 0.0000
0.0000 3.3372 0.0000
0.0000 0.0000 6.1926
Zn P S N
1 1 1 2
Direct
0.0000 0.0000 0.0000
0.5000 0.5000 0.5000
0.5000 0.5000 0.0000
0.0000 0.5000 0.5000
0.5000 0.0000 0.5000

=====

No. 16
LiPbN2 | Alexandria | PBE | relaxed; total moment = 1.0 μB/f.u.; calculated density = 6.30 g/cm³; calculated total energy = -4.76 eV/atom; E_form (uncorrected) = 0.81 eV/atom
1.0
1.7248 0.9958 6.1958
-1.7248 0.9958 6.1958
0.0000 -1.9916 6.1958
Li Pb N
1 1 2
Direct
0.0000 0.0000 0.0000
0.5000 0.5000 0.5000
0.1025 0.1025 0.1025
0.8975 0.8975 0.8975

=====

No. 17
DyNiGe | Alexandria | PBE | relaxed; total moment = 0.0 μB/f.u.; calculated density = 8.34 g/cm³; calculated total energy = -5.26 eV/atom; formation energy from the elements = -24.6 kJ/mol of atoms
1.0
-1.8813 1.8813 4.1300
1.8813 -1.8813 4.1300
1.8813 1.8813 -4.1300
Dy Ni Ge
1 1 1
Direct
0.0000 0.0000 0.0000
0.3612 0.3612 0.0000
0.6646 0.6646 0.0000

=====

No. 18
ScTlSiPt2 | Alexandria | PBE | relaxed; total moment = 0.0 μB/f.u.; calculated density = 8.64 g/cm³; calculated total energy = -4.45 eV/atom; E_form (uncorrected) = 0.79 eV/atom
1.0
4.8337 0.0000 0.0000
0.0000 4.8337 0.0000
0.0000 0.0000 5.4891
Sc Tl Si Pt
1 1 1 2
Direct
0.0000 0.0000 0.0000
0.0000 0.0000 0.5000
0.5000 0.5000 0.5000
0.0000 0.5000 0.0000
0.5000 0.0000 0.0000

=====

No. 19
CoSiNi3 | Alexandria | PBE | relaxed; total moment = 3.7 μB/f.u.; calculated density = 5.77 g/cm³; calculated total energy = -4.94 eV/atom; E_form (uncorrected) = 1.03 eV/atom
1.0
4.2317 0.0000 0.0000
0.0000 4.2317 0.0000
0.0000 0.0000 4.2317
Co Si Ni
1 1 3
Direct
0.0000 0.0000 0.0000
0.5000 0.5000 0.5000
0.0000 0.0000 0.5000
0.0000 0.5000 0.0000
0.5000 0.0000 0.0000

=====

No. 20
SrGaCu3 | Alexandria | PBE | relaxed; total moment = 0.0 μB/f.u.; calculated density = 5.63 g/cm³; calculated total energy = -3.36 eV/atom; formation energy from the elements = 3.3 kJ/mol of atoms
1.0
4.6816 0.0000 0.0000
0.0000 4.6816 0.0000
0.0000 0.0000 4.6816
Sr Ga Cu
1 1 3
Direct
0.0000 0.0000 0.0000
0.5000 0.5000 0.5000
0.0000 0.5000 0.5000
0.5000 0.0000 0.5000
0.5000 0.5000 0.0000